1.
VASP calculation (GGA-PBE) on PuTlI3 after structural relaxation.

Structure (POSCAR):
```
PuTlI3
1.0
8.564 -2.281 0.000
8.564 2.281 0.000
-6.695 0.000 11.353
Pu Tl I
2 2 6
direct
0.239 0.239 0.344
0.761 0.761 0.656
0.105 0.105 0.950
0.895 0.895 0.050
0.130 0.130 0.485
0.329 0.329 0.184
0.397 0.397 0.821
0.603 0.603 0.179
0.671 0.671 0.816
0.870 0.870 0.515
```

Output
**DFT total energy**: -51.3 eV/cell
**Polymorph energy (0 for the lowest one)**: 0 kJ/mol of formula units
**Formation energy without anion corrections**: -0.857 eV per atom
**DOS(E_F)**: 17.73 states/eV/f.u.

2.
VASP calculation (GGA-PBE) on PuTl4I6 after structural relaxation.

Structure (POSCAR):
```
PuTl4I6
1.0
9.337 0.000 0.000
0.000 9.337 0.000
0.000 0.000 10.385
Pu Tl I
2 8 12
direct
0.000 0.000 0.000
0.500 0.500 0.500
0.154 0.346 0.250
0.154 0.346 0.750
0.346 0.846 0.250
0.346 0.846 0.750
0.654 0.154 0.250
0.654 0.154 0.750
0.846 0.654 0.250
0.846 0.654 0.750
0.000 0.000 0.302
0.000 0.000 0.698
0.136 0.686 0.000
0.186 0.636 0.500
0.314 0.136 0.000
0.364 0.186 0.500
0.500 0.500 0.198
0.500 0.500 0.802
0.636 0.814 0.500
0.686 0.864 0.000
0.814 0.364 0.500
0.864 0.314 0.000
```

Output
**DFT total energy**: -82.4 eV/cell
**Formation energy without anion corrections**: -0.737 eV per atom
**DOS(E_F)**: 21.58 states/eV/f.u.

3.
VASP calculation (GGA-PBE) on Pu3Tl2I8 after structural relaxation.

Structure (POSCAR):
```
Pu3Tl2I8
1.0
8.764 -4.529 0.000
8.764 4.529 0.000
-2.188 0.000 7.515
Pu Tl I
3 2 8
direct
0.000 0.000 0.000
0.249 0.751 0.500
0.751 0.249 0.500
0.256 0.256 0.834
0.744 0.744 0.166
0.111 0.111 0.399
0.135 0.645 0.099
0.355 0.865 0.901
0.386 0.386 0.567
0.614 0.614 0.433
0.645 0.135 0.099
0.865 0.355 0.901
0.889 0.889 0.601
```

Output
**DFT total energy**: -72.0 eV/cell
**Formation energy without anion corrections**: -0.910 eV per atom
**DOS(E_F)**: 42.38 states/eV/f.u.

4.
VASP calculation (GGA-PBE) on PuTlI4 after structural relaxation.

Structure (POSCAR):
```
PuTlI4
1.0
5.183 -7.509 0.000
5.183 7.509 0.000
-3.966 0.000 6.379
Pu Tl I
2 2 8
direct
0.011 0.989 0.750
0.989 0.011 0.250
0.367 0.633 0.750
0.633 0.367 0.250
0.057 0.725 0.414
0.218 0.345 0.202
0.275 0.943 0.086
0.345 0.218 0.702
0.655 0.782 0.298
0.725 0.057 0.914
0.782 0.655 0.798
0.943 0.275 0.586
```

Output
**DFT total energy**: -56.3 eV/cell
**Polymorph energy (0 for the lowest one)**: 30 kJ/mol of formula units
**Formation energy without anion corrections**: -0.877 eV per atom
**DOS(E_F)**: 12.99 states/eV/f.u.